Record 1
Density functional theory data (PBE) for an optimized crystal structure of Y5Si2Bi2.

Unit cell a=15.4075 b=7.9368 c=7.9493 alpha=90.00 beta=90.00 gamma=90.00
Space group Cmce (No. 64)
Unique sites:
1 Y 0.0000 0.0000 0.0000 [4 per cell]
2 Y 0.1223 0.1644 0.3355 [16 per cell]
3 Si 0.0000 0.1357 0.6343 [8 per cell]
4 Bi 0.2072 0.0000 0.0000 [8 per cell]

Results
The uncorrected formation energy comes out at -0.834 eV per atom. The density is 6.277 Mg/m³. The total magnetic moment comes out at 0.0 μB/f.u. Its crystal system is orthorhombic.

---

Record 2
Density functional theory data (PBE) for an optimized crystal structure of Zr3HCS.

Unit cell a=7.0650 b=3.3826 c=7.5580 alpha=90.00 beta=103.42 gamma=90.00
Space group P2_1/m (No. 11)
Unique sites:
1 Zr 0.0566 0.2500 0.3461 [2 per cell]
2 Zr 0.2527 0.2500 0.9755 [2 per cell]
3 Zr 0.3840 0.7500 0.6372 [2 per cell]
4 H 0.4251 0.7500 0.9157 [2 per cell]
5 C 0.1663 0.2500 0.6611 [2 per cell]
6 S 0.3128 0.7500 0.2607 [2 per cell]

Results
The density is 6.025 Mg/m³. The total magnetic moment comes out at 0.0 μB/f.u. Its crystal system is monoclinic. Its total energy is -8.01 eV per atom.

---

Record 3
Density functional theory data (PBE) for an optimized crystal structure of AcYO2.

Unit cell a=3.5746 b=3.5746 c=18.4793 alpha=90.00 beta=90.00 gamma=120.00
Space group R-3m (No. 166, hexagonal axes)
Unique sites:
1 Ac 0.0000 0.0000 0.0000 [3 per cell]
2 Y 0.0000 0.0000 0.5000 [3 per cell]
3 O 0.0000 0.0000 0.2294 [6 per cell]

Results
The uncorrected formation energy comes out at -2.729 eV per atom. The density is 8.475 Mg/m³. The total magnetic moment comes out at 0.0 μB/f.u. Its crystal system is trigonal.

---

Record 4
Density functional theory data (PBE) for an optimized crystal structure of TlNiIrBr2.

Unit cell a=5.1075 b=5.1075 c=5.3501 alpha=90.00 beta=90.00 gamma=90.00
Space group P4/mmm (No. 123)
Unique sites:
1 Tl 0.0000 0.0000 0.0000 [1 per cell]
2 Ni 0.5000 0.5000 0.0000 [1 per cell]
3 Ir 0.0000 0.0000 0.5000 [1 per cell]
4 Br 0.0000 0.5000 0.5000 [2 per cell]

Results
The uncorrected formation energy comes out at 0.863 eV per atom. The density is 7.318 Mg/m³. The total magnetic moment comes out at 1.0 μB/f.u. Its crystal system is tetragonal.

---

Record 5
Density functional theory data (PBE) for an optimized crystal structure of Nb2BiPd9.

Unit cell a=4.0118 b=4.0118 c=12.3184 alpha=90.00 beta=90.00 gamma=90.00
Space group P4/mmm (No. 123)
Unique sites:
1 Nb 0.0000 0.0000 0.1659 [2 per cell]
2 Bi 0.0000 0.0000 0.5000 [1 per cell]
3 Pd 0.0000 0.5000 0.0000 [2 per cell]
4 Pd 0.0000 0.5000 0.3139 [4 per cell]
5 Pd 0.5000 0.5000 0.1568 [2 per cell]
6 Pd 0.5000 0.5000 0.5000 [1 per cell]

Results
The formation energy comes out at -3.8 eV per formula unit. The density is 11.329 Mg/m³. The total magnetic moment comes out at 0.0 μB/f.u. Its crystal system is tetragonal.

---

Record 6
Density functional theory data (PBE) for an optimized crystal structure of Mg2SnAu.

Unit cell a=3.2338 b=3.2338 c=30.8483 alpha=90.00 beta=90.00 gamma=120.00
Space group R-3m (No. 166, hexagonal axes)
Unique sites:
1 Mg 0.0000 0.0000 0.0859 [6 per cell]
2 Sn 0.0000 0.0000 0.5000 [3 per cell]
3 Au 0.0000 0.0000 0.0000 [3 per cell]

Results
The formation energy comes out at 0.2 eV per formula unit. The density is 6.496 Mg/m³. The total magnetic moment comes out at 0.0 μB/f.u. Its crystal system is trigonal.

---

> Which formula does entry 5 have?

Nb2BiPd9